Version 1
Crystalline Dy3Ho3Te2Pt at its relaxed geometry. Source: the Open Quantum Materials Database, functional PBE-GGA.

The structure in extended XYZ format:
```
9
Lattice="8.4122 0.0000 0.0000 -4.2061 7.2852 0.0000 0.0000 0.0000 3.9324" Properties=species:S:1:pos:R:3 pbc="T T T"
Dy -3.1714 5.4930 0.0000
Dy 1.0347 1.7922 0.0000
Dy 6.3428 0.0000 0.0000
Ho -1.6881 2.9238 1.9662
Ho 3.3762 0.0000 1.9662
Ho 2.5180 4.3614 1.9662
Te 0.0000 4.8568 0.0000
Te 4.2061 2.4284 0.0000
Pt 0.0000 0.0000 1.9662
```



Version 2
Crystalline Dy3Ho3Te2Pt at its relaxed geometry. Source: the Open Quantum Materials Database, functional PBE-GGA.

The structure in extended XYZ format:
```
9
Lattice="8.4002 0.0000 0.0000 -4.2001 7.2748 0.0000 0.0000 0.0000 3.9320" Properties=species:S:1:pos:R:3 pbc="T T T"
Dy -1.6856 2.9195 0.0000
Dy 3.3711 0.0000 0.0000
Dy 2.5146 4.3553 0.0000
Ho -3.1683 5.4877 1.9660
Ho 1.0318 1.7871 1.9660
Ho 6.3366 0.0000 1.9660
Te 0.0000 4.8499 1.9660
Te 4.2001 2.4249 1.9660
Pt 0.0000 0.0000 0.0000
```



In eV/atom, relative to the most stable structure: version 1 0.016; version 2 0.000.